Here is crystalline Nb2VPt at its relaxed geometry from Alexandria. Energies are from PBE.

Lattice parameters (Å, degrees): 4.322 4.322 3.528 90.00 90.00 90.00
Element x y z (fractional)
Nb  0.000  0.500  0.000
Nb  0.500  0.000  0.000
V  0.000  0.000  0.500
Pt  0.500  0.500  0.500

Computed properties:
- ΔE to the lowest computed polymorph (meV per atom) = 27
- DFT formation energy (eV per atom) = -0.26
- VASP energy (eV for the cell shown) = -36.34
- space-group type = P4/mmm